# PBE with a Hubbard U Cd2InMoO6, relaxed
data_Cd2InMoO6
_symmetry_space_group_name_H-M 'P 1'
_symmetry_Int_Tables_number 1
_cell_length_a 5.0357
_cell_length_b 5.4880
_cell_length_c 5.4880
_cell_angle_alpha 90.00
_cell_angle_beta 90.00
_cell_angle_gamma 90.00
loop_
_symmetry_equiv_pos_as_xyz
'x,y,z'
loop_
_atom_site_label
_atom_site_type_symbol
_atom_site_fract_x
_atom_site_fract_y
_atom_site_fract_z
O1 O 0.1683 0.5000 0.5000
O2 O 0.7287 0.2388 0.2388
O3 O 0.7287 0.7612 0.7612
O4 O 0.2348 0.0000 0.0000
O5 O 0.7287 0.2388 0.7612
O6 O 0.7287 0.7612 0.2388
Mo1 Mo 0.5864 0.0000 0.0000
In1 In 0.5750 0.5000 0.5000
Cd1 Cd 0.9838 0.0000 0.5000
Cd2 Cd 0.9838 0.5000 0.0000
# **Uncorrected energy**: -53.37 eV per formula unit
# **Fermi-level density of states**: 0.0518 states/eV/atom